## MgAl2Os (PBE)

Data for crystalline MgAl2Os at its relaxed geometry.

Formation enthalpy at 0 K (eV per atom): -0.17
Crystal system: monoclinic
Polymorph energy (0 for the lowest one) (meV/atom): 70
VASP energy (eV/atom): -5.25
Calculated volume (Å³ per atom): 15.8
Density of states at the Fermi level (states/eV/cell): 2.0
Calculated density (g/cm³): 7.065

abc: 8.9164 3.2410 4.6094
angles: 90.00 108.65 90.00
With the nearest neighbours (Å) after each atom.
Space group C2/m (No. 12)
Asymmetric unit:
Mg: 0.0000 0.0000 0.0000 [2 per cell]  6 Al 2.81-2.83, 4 Os 2.82
Al: 0.2338 0.0000 0.7116 [4 per cell]  3 Os 2.57-2.84, 2 Al 2.62, 3 Mg 2.81-2.83
Os: 0.0000 0.5000 0.5000 [2 per cell]  6 Al 2.57-2.84, 4 Mg 2.82